# Pm2ZnSb3Pt4 (PBE, relaxed)
data_Pm2ZnSb3Pt4
_chemical_formula_sum 'Pm2 Zn1 Sb3 Pt4'
_cell_length_a 4.4857
_cell_length_b 4.4857
_cell_length_c 10.7913
_cell_angle_alpha 90.00
_cell_angle_beta 90.00
_cell_angle_gamma 90.00
_space_group_name_H-M_alt 'P -4 m 2'
_space_group_IT_number 115
loop_
_space_group_symop_operation_xyz
'x,y,z'
'y,-x,-z'
'-x,-y,z'
'-y,x,-z'
'-x,y,z'
'-y,-x,-z'
'x,-y,z'
'y,x,-z'
loop_
_atom_site_label
_atom_site_type_symbol
_atom_site_fract_x
_atom_site_fract_y
_atom_site_fract_z
Pm1 Pm 0.0000 0.5000 0.2429
Zn1 Zn 0.0000 0.0000 0.5000
Sb1 Sb 0.0000 0.5000 0.8642
Sb2 Sb 0.5000 0.5000 0.5000
Pt1 Pt 0.0000 0.0000 0.0000
Pt2 Pt 0.0000 0.5000 0.6263
Pt3 Pt 0.5000 0.5000 0.0000
# Total DFT energy (no corrections): -55.6 eV per cell
# Density: 11.48 g cm⁻³
# Size of the total moment: 0.000 μB per atom
# Crystal system: tetragonal



# ThZrCuIr (PBE, relaxed)
data_ThZrCuIr
_chemical_formula_sum 'Th4 Zr4 Cu4 Ir4'
_cell_length_a 6.9074
_cell_length_b 6.9074
_cell_length_c 6.9074
_cell_angle_alpha 90.00
_cell_angle_beta 90.00
_cell_angle_gamma 90.00
_space_group_name_H-M_alt 'F -4 3 m'
_space_group_IT_number 216
_space_group_name_Hall 'F -4 2 3'
loop_
_atom_site_label
_atom_site_type_symbol
_atom_site_fract_x
_atom_site_fract_y
_atom_site_fract_z
Th1 Th 0.0000 0.0000 0.0000
Zr1 Zr 0.0000 0.0000 0.5000
Cu1 Cu 0.2500 0.2500 0.7500
Ir1 Ir 0.2500 0.2500 0.2500
# Total DFT energy (no corrections): -121.6 eV per cell
# Density: 11.67 g cm⁻³
# Size of the total moment: 0.000 μB per atom
# Crystal system: cubic



# Ce5PmS6 (PBE, relaxed)
data_Ce5PmS6
_chemical_formula_sum 'Ce10 Pm2 S12'
_cell_length_a 6.9652
_cell_length_b 12.0678
_cell_length_c 6.9664
_cell_angle_alpha 90.00
_cell_angle_beta 109.49
_cell_angle_gamma 90.00
_space_group_name_H-M_alt 'C 1 2/m 1'
_space_group_IT_number 12
loop_
_space_group_symop_operation_xyz
'x,y,z'
'-x,-y,-z'
'-x,y,-z'
'x,-y,z'
'x+1/2,y+1/2,z'
'-x+1/2,-y+1/2,-z'
'-x+1/2,y+1/2,-z'
'x+1/2,-y+1/2,z'
loop_
_atom_site_label
_atom_site_type_symbol
_atom_site_fract_x
_atom_site_fract_y
_atom_site_fract_z
Ce1 Ce 0.0000 0.0000 0.0000
Ce2 Ce 0.0000 0.1666 0.5000
Ce3 Ce 0.0000 0.3339 0.0000
Pm1 Pm 0.0000 0.5000 0.5000
S1 S 0.2497 0.0000 0.7497
S2 S 0.2499 0.1668 0.2501
# Total DFT energy (no corrections): -167.4 eV per cell
# Density: 6.24 g cm⁻³
# Size of the total moment: 0.245 μB per atom
# Crystal system: monoclinic



# BiSbTeI2 (PBE, relaxed)
data_BiSbTeI2
_chemical_formula_sum 'Bi1 Sb1 Te1 I2'
_cell_length_a 5.9826
_cell_length_b 5.9826
_cell_length_c 6.3087
_cell_angle_alpha 90.00
_cell_angle_beta 90.00
_cell_angle_gamma 90.00
_space_group_name_H-M_alt 'P 4/m m m'
_space_group_IT_number 123
_space_group_name_Hall '-P 4 2'
loop_
_atom_site_label
_atom_site_type_symbol
_atom_site_fract_x
_atom_site_fract_y
_atom_site_fract_z
Bi1 Bi 0.0000 0.0000 0.0000
Sb1 Sb 0.0000 0.0000 0.5000
Te1 Te 0.5000 0.5000 0.5000
I1 I 0.0000 0.5000 0.0000
# Total DFT energy (no corrections): -11.8 eV per cell
# ΔE to the lowest computed polymorph: 138 meV/atom
# Density: 5.24 g cm⁻³
# Size of the total moment: 0.037 μB per atom
# Crystal system: tetragonal



# SrCdCuHg2 (PBE, relaxed)
data_SrCdCuHg2
_chemical_formula_sum 'Sr1 Cd1 Cu1 Hg2'
_cell_length_a 5.1327
_cell_length_b 5.1327
_cell_length_c 5.0730
_cell_angle_alpha 90.00
_cell_angle_beta 90.00
_cell_angle_gamma 90.00
_space_group_name_H-M_alt 'P 4/m m m'
_space_group_IT_number 123
_space_group_name_Hall '-P 4 2'
loop_
_atom_site_label
_atom_site_type_symbol
_atom_site_fract_x
_atom_site_fract_y
_atom_site_fract_z
Sr1 Sr 0.0000 0.0000 0.0000
Cd1 Cd 0.5000 0.5000 0.0000
Cu1 Cu 0.5000 0.5000 0.5000
Hg1 Hg 0.0000 0.5000 0.5000
# Total DFT energy (no corrections): -8.0 eV per cell
# Density: 8.26 g cm⁻³
# Size of the total moment: 0.000 μB per atom
# Crystal system: tetragonal



# CsTiPb2I8 (PBE, relaxed)
data_CsTiPb2I8
_chemical_formula_sum 'Cs1 Ti1 Pb2 I8'
_cell_length_a 8.0211
_cell_length_b 8.8612
_cell_length_c 9.3650
_cell_angle_alpha 67.35
_cell_angle_beta 84.30
_cell_angle_gamma 78.80
_space_group_name_H-M_alt 'P -1'
_space_group_IT_number 2
loop_
_space_group_symop_operation_xyz
'x,y,z'
'-x,-y,-z'
loop_
_atom_site_label
_atom_site_type_symbol
_atom_site_fract_x
_atom_site_fract_y
_atom_site_fract_z
Cs1 Cs 0.0000 0.0000 0.0000
Ti1 Ti 0.0000 0.5000 0.5000
Pb1 Pb 0.4316 0.4533 0.2584
I1 I 0.0441 0.5189 0.1898
I2 I 0.2413 0.2103 0.5853
I3 I 0.2623 0.6966 0.4447
I4 I 0.4928 0.7648 0.9589
# Total DFT energy (no corrections): -38.2 eV per cell
# Density: 4.44 g cm⁻³
# Size of the total moment: 0.083 μB per atom
# Crystal system: triclinic